Entry 1:
First-principles (SCAN) data for a PBEsol-optimized structure of BeTe2N, as listed in the Alexandria database.

* V: 161.1 Å³ per cell

Cell: 5.127 5.127 7.121 Å, 111.10 111.10 90.00°
Positions (direct):
N: 0.250 0.750 0.500
N: 0.000 0.000 0.000
Te: 0.625 0.651 0.750
Te: 0.349 0.875 0.250
Te: 0.901 0.375 0.250
Te: 0.125 0.099 0.750
Be: 0.750 0.250 0.500
Be: 0.500 0.500 0.000

=====

Entry 2:
First-principles (SCAN) data for a PBEsol-optimized structure of BeTeN2, as listed in the Alexandria database.

* V: 41.1 Å³ per cell

Cell: 3.872 3.872 3.872 Å, 60.00 60.00 60.00°
Positions (direct):
Be: 0.000 0.000 0.000
N: 0.250 0.250 0.250
N: 0.750 0.750 0.750
Te: 0.500 0.500 0.500

=====

Entry 3:
First-principles (SCAN) data for a PBEsol-optimized structure of Ti3BeN, as listed in the Alexandria database.

* V: 64.7 Å³ per cell

Cell: 4.015 4.015 4.015 Å, 90.00 90.00 90.00°
Positions (direct):
Be: 0.500 0.500 0.500
Ti: 0.000 0.000 0.500
Ti: 0.000 0.500 0.000
Ti: 0.500 0.000 0.000
N: 0.000 0.000 0.000

=====

Entry 4:
First-principles (SCAN) data for a PBEsol-optimized structure of BeTlN3, as listed in the Alexandria database.

* V: 76.2 Å³ per cell

Cell: 4.239 4.239 4.239 Å, 90.00 90.00 90.00°
Last column: magnetic moment on the atom in μB.
Positions (direct):
N: 0.000 0.500 0.000  1.03
N: 0.000 0.000 0.500  1.03
N: 0.500 0.000 0.000  1.03
Tl: 0.000 0.000 0.000  0.05
Be: 0.500 0.500 0.500  -0.25

=====

Entry 5:
First-principles (SCAN) data for a PBEsol-optimized structure of BeTlN2, as listed in the Alexandria database.

* V: 55.6 Å³ per cell

Cell: 3.440 3.440 5.774 Å, 72.67 72.67 60.00°
Positions (direct):
N: 0.905 0.905 0.284
N: 0.095 0.095 0.716
Be: 0.000 0.000 0.000
Tl: 0.500 0.500 0.500

=====

Entry 6:
First-principles (SCAN) data for a PBEsol-optimized structure of Be3TlN, as listed in the Alexandria database.

* V: 52.5 Å³ per cell

Cell: 3.745 3.745 3.745 Å, 90.00 90.00 90.00°
Positions (direct):
Be: 0.500 0.000 0.000
Be: 0.000 0.000 0.500
Be: 0.000 0.500 0.000
Tl: 0.500 0.500 0.500
N: 0.000 0.000 0.000

=====

Entry 7:
First-principles (SCAN) data for a PBEsol-optimized structure of YBeN3, as listed in the Alexandria database.

* V: 45.9 Å³ per cell

Cell: 3.581 3.581 3.581 Å, 90.00 90.00 90.00°
Positions (direct):
Y: 0.500 0.500 0.500
Be: 0.000 0.000 0.000
N: 0.000 0.500 0.000
N: 0.000 0.000 0.500
N: 0.500 0.000 0.000

=====

Entry 8:
First-principles (SCAN) data for a PBEsol-optimized structure of YBeN3, as listed in the Alexandria database.

* V: 83.7 Å³ per cell

Cell: 4.374 4.374 4.374 Å, 90.00 90.00 90.00°
Last column: magnetic moment on the atom in μB.
Positions (direct):
Be: 0.500 0.500 0.500  -0.25
N: 0.500 0.000 0.000  1.11
N: 0.000 0.000 0.500  1.11
N: 0.000 0.500 0.000  1.11
Y: 0.000 0.000 0.000  0.20

=====

Entry 9:
First-principles (SCAN) data for a PBEsol-optimized structure of Na2BeO2, as listed in the Alexandria database.

* V: 470.5 Å³ per cell

Cell: 5.291 7.856 11.454 Å, 98.81 90.00 90.00°
Positions (direct):
Na: 0.332 0.179 0.534
Na: 0.943 0.410 0.236
Na: 0.618 0.748 0.167
Na: 0.882 0.248 0.667
Na: 0.052 0.948 0.875
Na: 0.382 0.252 0.833
Na: 0.557 0.910 0.736
Na: 0.552 0.552 0.625
Na: 0.668 0.821 0.466
Na: 0.168 0.679 0.034
Na: 0.448 0.448 0.375
Na: 0.057 0.590 0.764
Na: 0.948 0.052 0.125
Na: 0.832 0.321 0.966
Na: 0.118 0.752 0.333
Na: 0.443 0.090 0.264
O: 0.633 0.054 0.923
O: 0.808 0.944 0.306
O: 0.383 0.732 0.859
O: 0.867 0.554 0.423
O: 0.274 0.770 0.522
O: 0.226 0.270 0.022
O: 0.774 0.730 0.978
O: 0.117 0.232 0.359
O: 0.617 0.268 0.141
O: 0.883 0.768 0.641
O: 0.192 0.056 0.694
O: 0.692 0.444 0.806
O: 0.133 0.446 0.577
O: 0.726 0.230 0.478
O: 0.308 0.556 0.194
O: 0.367 0.946 0.077
Be: 0.383 0.384 0.123
Be: 0.883 0.116 0.377
Be: 0.117 0.884 0.623
Be: 0.042 0.629 0.539
Be: 0.617 0.616 0.877
Be: 0.542 0.871 0.961
Be: 0.958 0.371 0.461
Be: 0.458 0.129 0.039

=====

Entry 10:
First-principles (SCAN) data for a PBEsol-optimized structure of NaBeO2, as listed in the Alexandria database.

* V: 85.9 Å³ per cell

Cell: 4.338 4.338 5.501 Å, 113.22 113.22 90.00°
Positions (direct):
O: 0.671 0.375 0.250
O: 0.579 0.875 0.250
O: 0.125 0.329 0.750
O: 0.625 0.421 0.750
Be: 0.750 0.250 0.500
Be: 0.500 0.500 0.000
Na: 0.250 0.750 0.500
Na: 0.000 0.000 0.000

=====

Entry 11:
First-principles (SCAN) data for a PBEsol-optimized structure of Na6BeO4, as listed in the Alexandria database.

* V: 259.0 Å³ per cell

Cell: 5.704 7.241 7.241 Å, 120.00 90.00 90.00°
Positions (direct):
Na: 0.110 0.144 0.288
Na: 0.610 0.856 0.144
Na: 0.110 0.144 0.856
Na: 0.287 0.934 0.467
Na: 0.287 0.533 0.467
Na: 0.787 0.467 0.934
Na: 0.610 0.856 0.712
Na: 0.787 0.467 0.533
Na: 0.110 0.712 0.856
Na: 0.787 0.066 0.533
Na: 0.610 0.288 0.144
Na: 0.287 0.533 0.066
O: 0.493 0.202 0.798
O: 0.096 0.333 0.667
O: 0.596 0.667 0.333
O: 0.493 0.202 0.404
O: 0.993 0.798 0.596
O: 0.993 0.798 0.202
O: 0.993 0.404 0.202
O: 0.493 0.596 0.798
Be: 0.393 0.333 0.667
Be: 0.893 0.667 0.333

=====

Entry 12:
First-principles (SCAN) data for a PBEsol-optimized structure of RbNa5Be8O11, as listed in the Alexandria database.

* V: 540.5 Å³ per cell

Cell: 6.442 9.440 10.575 Å, 64.45 89.09 70.43°
Positions (direct):
Na: 0.909 0.636 0.857
Na: 0.247 0.556 0.520
Na: 0.251 0.056 0.030
Na: 0.734 0.736 0.537
Na: 0.266 0.264 0.463
Na: 0.129 0.861 0.628
Na: 0.753 0.444 0.480
Na: 0.871 0.139 0.372
Na: 0.749 0.944 0.970
Na: 0.091 0.364 0.143
O: 0.531 0.759 0.719
O: 0.715 0.435 0.212
O: 0.925 0.152 0.821
O: 0.304 0.540 0.279
O: 0.435 0.735 0.376
O: 0.360 0.039 0.756
O: 0.874 0.658 0.334
O: 0.787 0.927 0.723
O: 0.016 0.851 0.429
O: 0.126 0.342 0.666
O: 0.285 0.565 0.788
O: 0.066 0.355 0.915
O: 0.934 0.645 0.085
O: 0.565 0.265 0.624
O: 0.075 0.848 0.179
O: 0.640 0.961 0.244
O: 0.696 0.460 0.721
O: 0.213 0.073 0.277
O: 0.517 0.769 0.137
O: 0.483 0.231 0.863
O: 0.469 0.241 0.281
O: 0.984 0.149 0.571
Be: 0.727 0.612 0.151
Be: 0.446 0.088 0.273
Be: 0.095 0.156 0.701
Be: 0.664 0.283 0.759
Be: 0.213 0.891 0.348
Be: 0.787 0.109 0.652
Be: 0.614 0.786 0.271
Be: 0.336 0.717 0.241
Be: 0.495 0.407 0.253
Be: 0.386 0.214 0.729
Be: 0.959 0.343 0.785
Be: 0.041 0.657 0.215
Be: 0.554 0.912 0.727
Be: 0.905 0.844 0.299
Be: 0.505 0.593 0.747
Be: 0.273 0.388 0.849
Rb: 0.251 0.763 0.939
Rb: 0.749 0.237 0.061

=====

Entry 13:
First-principles (SCAN) data for a PBEsol-optimized structure of Na2BeSi2O6, as listed in the Alexandria database.

* offset from the most stable computed form: 0 kJ/mol of formula units
* V: 771.7 Å³ per cell

Cell: 6.886 11.130 11.134 Å, 84.51 71.99 71.98°
Positions (direct):
O: 0.314 0.890 0.326
O: 0.532 0.732 0.542
O: 0.882 0.035 0.581
O: 0.997 0.472 0.414
O: 0.017 0.125 0.739
O: 0.954 0.610 0.826
O: 0.244 0.875 0.739
O: 0.561 0.377 0.906
O: 0.576 0.281 0.230
O: 0.663 0.781 0.730
O: 0.220 0.028 0.914
O: 0.212 0.699 0.466
O: 0.689 0.123 0.406
O: 0.374 0.199 0.966
O: 0.869 0.625 0.239
O: 0.635 0.947 0.147
O: 0.220 0.390 0.826
O: 0.926 0.268 0.543
O: 0.533 0.623 0.906
O: 0.014 0.768 0.042
O: 0.892 0.375 0.239
O: 0.194 0.719 0.230
O: 0.866 0.972 0.914
O: 0.667 0.465 0.081
O: 0.589 0.528 0.414
O: 0.322 0.301 0.466
O: 0.660 0.801 0.966
O: 0.607 0.219 0.730
O: 0.218 0.053 0.147
O: 0.943 0.232 0.042
O: 0.252 0.535 0.081
O: 0.021 0.447 0.647
O: 0.538 0.965 0.581
O: 0.905 0.877 0.406
O: 0.360 0.110 0.326
O: 0.332 0.553 0.647
Na: 0.360 0.500 0.281
Na: 0.667 0.815 0.330
Na: 0.649 0.152 0.061
Na: 0.938 0.315 0.830
Na: 0.003 0.185 0.330
Na: 0.989 0.500 0.023
Na: 0.552 0.348 0.561
Na: 0.232 0.685 0.830
Na: 0.289 0.848 0.061
Na: 0.239 0.000 0.523
Na: 0.887 0.652 0.561
Na: 0.610 0.000 0.781
Be: 0.771 0.336 0.151
Be: 0.857 0.164 0.651
Be: 0.492 0.836 0.651
Be: 0.385 0.000 0.230
Be: 0.078 0.664 0.151
Be: 0.135 0.500 0.730
Si: 0.060 0.367 0.525
Si: 0.840 0.500 0.319
Si: 0.436 0.300 0.851
Si: 0.163 0.800 0.351
Si: 0.713 0.700 0.851
Si: 0.090 0.000 0.819
Si: 0.177 0.133 0.025
Si: 0.750 0.000 0.500
Si: 0.500 0.500 0.000
Si: 0.798 0.867 0.025
Si: 0.415 0.633 0.525
Si: 0.486 0.200 0.351

=====

Entry 14:
First-principles (SCAN) data for a PBEsol-optimized structure of NaBeSi3O8, as listed in the Alexandria database.

* V: 641.5 Å³ per cell

Cell: 6.578 7.489 15.104 Å, 75.22 77.42 63.95°
Last column: magnetic moment on the atom in μB.
Positions (direct):
O: 0.414 0.764 0.151  0.00
O: 0.279 0.290 0.598  0.00
O: 0.972 0.592 0.816  0.38
O: 0.832 0.790 0.098  0.00
O: 0.232 0.117 0.346  0.14
O: 0.000 0.500 0.000  0.01
O: 0.670 0.264 0.651  0.00
O: 0.500 0.000 0.500  0.01
O: 0.269 0.581 0.667  0.01
O: 0.024 0.929 0.741  0.40
O: 0.696 0.383 0.154  0.14
O: 0.484 0.081 0.167  0.01
O: 0.168 0.210 0.902  0.00
O: 0.281 0.583 0.067  0.00
O: 0.500 0.000 0.000  0.00
O: 0.976 0.071 0.259  0.40
O: 0.620 0.092 0.316  0.38
O: 0.586 0.236 0.849  0.00
O: 0.768 0.883 0.654  0.14
O: 0.931 0.917 0.433  0.00
O: 0.306 0.429 0.241  0.40
O: 0.500 0.500 0.500  0.00
O: 0.304 0.617 0.846  0.14
O: 0.719 0.417 0.933  0.00
O: 0.516 0.919 0.833  0.01
O: 0.028 0.408 0.184  0.38
O: 0.069 0.083 0.567  0.00
O: 0.731 0.419 0.333  0.01
O: 0.721 0.710 0.402  0.00
O: 0.330 0.736 0.349  0.00
O: 0.380 0.908 0.684  0.38
O: 0.694 0.571 0.759  0.40
Be: 0.164 0.673 0.758  -0.01
Be: 0.836 0.327 0.242  -0.01
Be: 0.595 0.827 0.742  -0.01
Be: 0.405 0.173 0.258  -0.01
Si: 0.568 0.461 0.849  -0.01
Si: 0.687 0.935 0.412  -0.01
Si: 0.878 0.039 0.651  -0.01
Si: 0.433 0.412 0.607  0.00
Si: 0.966 0.435 0.912  -0.01
Si: 0.567 0.588 0.393  0.00
Si: 0.452 0.088 0.893  0.00
Si: 0.122 0.961 0.349  -0.01
Si: 0.432 0.539 0.151  -0.01
Si: 0.034 0.565 0.088  -0.01
Si: 0.313 0.065 0.588  -0.01
Si: 0.548 0.912 0.107  0.00
Na: 0.127 0.939 0.869  0.00
Na: 0.065 0.439 0.369  0.00
Na: 0.873 0.061 0.131  0.00
Na: 0.935 0.561 0.631  0.00

=====

Number 1: total DFT energy (no corrections) -21.383 eV per atom, uncorrected formation energy 0.65 eV/atom. Number 2: total DFT energy (no corrections) -13.511 eV per atom, uncorrected formation energy 1.54 eV/atom. Number 3: total DFT energy (no corrections) -13.197 eV per atom, uncorrected formation energy -0.85 eV/atom. Number 4: total DFT energy (no corrections) -18.120 eV per atom, uncorrected formation energy 2.80 eV/atom. Number 5: total DFT energy (no corrections) -23.157 eV per atom, uncorrected formation energy 0.67 eV/atom. Number 6: total DFT energy (no corrections) -18.762 eV per atom, uncorrected formation energy 0.18 eV/atom. Number 7: total DFT energy (no corrections) -12.079 eV per atom, uncorrected formation energy -0.06 eV/atom. Number 8: total DFT energy (no corrections) -10.400 eV per atom, uncorrected formation energy 1.61 eV/atom. Number 9: total DFT energy (no corrections) -7.151 eV per atom, uncorrected formation energy -2.10 eV/atom. Number 10: total DFT energy (no corrections) -7.140 eV per atom, uncorrected formation energy -1.88 eV/atom. Number 11: total DFT energy (no corrections) -6.650 eV per atom, uncorrected formation energy -1.69 eV/atom. Number 12: total DFT energy (no corrections) -8.272 eV per atom, uncorrected formation energy -2.46 eV/atom. Number 13: total DFT energy (no corrections) -9.211 eV per atom, uncorrected formation energy -2.83 eV/atom. Number 14: total DFT energy (no corrections) -9.458 eV per atom, uncorrected formation energy -2.65 eV/atom.